1.
! Hg2AsHPb (SCAN, single point on PBEsol structure); values from VASP
&SYSTEM
  ibrav = 0, nat = 5, ntyp = 4
/
ATOMIC_SPECIES
Pb 207.20 Pb.upf
H 1.01 H.upf
As 74.92 As.upf
Hg 200.59 Hg.upf
CELL_PARAMETERS angstrom
5.294 0.000 0.000
0.000 5.965 0.000
0.000 0.000 5.965
ATOMIC_POSITIONS angstrom
Pb 0.000 0.000 0.000
H 2.647 2.982 2.982
As 2.647 0.000 0.000
Hg 0.000 0.000 2.982
Hg 0.000 2.982 0.000
! symmetry = P4/mmm
! crystal system = tetragonal
! total energy = -46.248 eV/atom

2.
! CsPS2F (SCAN, single point on PBEsol structure); values from VASP
&SYSTEM
  ibrav = 0, nat = 5, ntyp = 4
/
ATOMIC_SPECIES
Cs 132.91 Cs.upf
P 30.97 P.upf
S 32.06 S.upf
F 19.00 F.upf
CELL_PARAMETERS angstrom
3.681 0.000 0.000
0.000 5.658 0.000
0.000 0.000 5.658
ATOMIC_POSITIONS angstrom
Cs 1.840 2.829 2.829
P 1.840 0.000 0.000
S 0.000 0.000 2.829
S 0.000 2.829 0.000
F 0.000 0.000 0.000
! symmetry = P4/mmm
! crystal system = tetragonal
! total energy = -14.034 eV/atom

3.
! LuNiGe2 (SCAN, single point on PBEsol structure); values from VASP
&SYSTEM
  ibrav = 0, nat = 8, ntyp = 3
/
ATOMIC_SPECIES
Ni 58.69 Ni.upf
Ge 72.64 Ge.upf
Lu 174.97 Lu.upf
CELL_PARAMETERS angstrom
-3.125 0.638 2.213
1.294 -2.811 2.638
5.766 5.589 3.127
ATOMIC_POSITIONS angstrom
Ni 0.223 1.671 3.238
Ni 3.712 1.745 4.740
Ge 4.838 3.327 5.873
Ge -0.903 0.089 2.105
Ge 1.486 1.132 5.178
Ge 2.448 2.284 2.800
Lu 2.065 4.260 5.094
Lu 1.870 -0.844 2.884
! symmetry = Cmcm
! energy relative to the elements = -0.715 eV per atom
! crystal system = orthorhombic
! total energy = -28.139 eV/atom

Q: Which value of total energy does entry 2 give?
A: -14.034 eV/atom